(1)
Si3HgC | PBE | relaxed

The structure belongs to space group Pm-3m (No. 221); the cell edges are 5.023, 5.023 and 5.023 Å and the angles 90.00°, 90.00° and 90.00°. Symmetry generates all atoms from Si at (0.000, 0.000, 0.500), Hg at (0.000, 0.000, 0.000) and C at (0.500, 0.500, 0.500).

Its total magnetization is 0.9 μB per formula unit. The total energy comes out at -2.580 eV/atom. The energy above the most stable polymorph in this dataset is 1.625 eV per atom. The calculation puts the uncorrected formation energy at 2.579 eV/atom.

=====

(2)
Tb3Cu2Rh7 | PBE | relaxed

The structure belongs to space group R-3m (No. 166, hexagonal axes); the cell edges are 5.3071, 5.3071 and 25.4346 Å and the angles 90.00°, 90.00° and 120.00°. Symmetry generates all atoms from Tb at (0.0000, 0.0000, 0.0000), Tb at (0.0000, 0.0000, 0.1402), Cu at (0.0000, 0.0000, 0.3339), Rh at (0.0000, 0.0000, 0.5000) and Rh at (0.0036, 0.5018, 0.9178).

The energy relative to the elements is -0.556 eV per atom. Its total magnetization is 0.0 μB per formula unit. The total energy comes out at -6.685 eV/atom.

=====

(3)
Ac2CuSnAu6 | PBE | relaxed

The structure belongs to space group P-1 (No. 2); the cell edges are 5.577, 7.050 and 7.370 Å and the angles 80.37°, 67.86° and 66.87°. Symmetry generates all atoms from Ac at (0.241, 0.229, 0.286), Cu at (0.500, 0.500, 0.500), Sn at (0.000, 0.000, 0.000), Au at (0.228, 0.758, 0.284), Au at (0.264, 0.580, 0.896) and Au at (0.272, 0.241, 0.717).

The energy relative to the elements is -0.480 eV per atom. Its total magnetization is 0.0 μB per formula unit. The total energy comes out at -4.078 eV/atom.

=====

(4)
CePuScPt | PBE | relaxed

The structure belongs to space group F-43m (No. 216); the cell edges are 7.052, 7.052 and 7.052 Å and the angles 90.00°, 90.00° and 90.00°. Symmetry generates all atoms from Ce at (0.000, 0.000, 0.000), Pu at (0.250, 0.250, 0.250), Sc at (0.000, 0.000, 0.500) and Pt at (0.250, 0.250, 0.750).

The energy relative to the elements is -0.395 eV per atom. Its total magnetization is 7.8 μB per formula unit. The total energy comes out at -8.555 eV/atom.

=====

(5)
SrHgW | PBE | relaxed

The structure belongs to space group F-43m (No. 216); the cell edges are 7.108, 7.108 and 7.108 Å and the angles 90.00°, 90.00° and 90.00°. Symmetry generates all atoms from Sr at (0.000, 0.000, 0.000), Hg at (0.250, 0.250, 0.250) and W at (0.000, 0.000, 0.500).

The energy relative to the elements is 1.300 eV per atom. Its total magnetization is 3.5 μB per formula unit. The total energy comes out at -3.679 eV/atom. The energy above the most stable polymorph in this dataset is 0.480 eV per atom.

=====

(6)
NaU2Br8 | PBE | relaxed

The structure belongs to space group C2/m (No. 12); the cell edges are 13.458, 8.460 and 8.345 Å and the angles 90.00°, 118.01° and 90.00°. Symmetry generates all atoms from Na at (0.000, 0.000, 0.000), U at (0.100, 0.000, 0.537), Br at (0.040, 0.224, 0.738), Br at (0.195, 0.500, 0.174) and Br at (0.218, 0.000, 0.341).

Its total magnetization is 1.1 μB per formula unit. The total energy comes out at -4.615 eV/atom. The energy above the most stable polymorph in this dataset is 0.000 eV per atom. The calculation puts the uncorrected formation energy at -1.226 eV/atom.

=====

(7)
Rb2PbIBr6 | PBE | relaxed

The structure belongs to space group I4/mmm (No. 139); the cell edges are 8.890, 8.890 and 11.345 Å and the angles 90.00°, 90.00° and 90.00°. Symmetry generates all atoms from Rb at (0.000, 0.500, 0.250), Pb at (0.000, 0.000, 0.000), I at (0.000, 0.000, 0.500), Br at (0.000, 0.000, 0.262) and Br at (0.228, 0.228, 0.000).

Its total magnetization is 0.0 μB per formula unit. The total energy comes out at -2.602 eV/atom. The energy above the most stable polymorph in this dataset is 0.062 eV per atom. The calculation puts the uncorrected formation energy at -0.879 eV/atom.

=====

(8)
Tb3Er8Tm4 | PBE | relaxed

The structure belongs to space group C2/m (No. 12); the cell edges are 13.168, 12.717 and 6.630 Å and the angles 90.00°, 119.96° and 90.00°. Symmetry generates all atoms from Tb at (0.000, 0.000, 0.000), Tb at (0.250, 0.250, 0.000), Er at (0.000, 0.141, 0.500), Er at (0.000, 0.250, 0.000), Er at (0.231, 0.000, 0.953), Er at (0.239, 0.000, 0.481), Tm at (0.000, 0.500, 0.000), Tm at (0.000, 0.500, 0.500) and Tm at (0.250, 0.250, 0.500).

The energy relative to the elements is 0.416 eV per atom. Its total magnetization is 0.0 μB per formula unit. The total energy comes out at -4.136 eV/atom.

=====

(9)
RbV3W | PBE | relaxed

The structure belongs to space group Pm-3m (No. 221); the cell edges are 4.976, 4.976 and 4.976 Å and the angles 90.00°, 90.00° and 90.00°. Symmetry generates all atoms from Rb at (0.000, 0.000, 0.000), V at (0.000, 0.500, 0.500) and W at (0.500, 0.500, 0.500).

The energy relative to the elements is 1.554 eV per atom. Its total magnetization is 6.8 μB per formula unit. The total energy comes out at -6.701 eV/atom.

=====

(10)
MgPd5Pb2 | PBE | relaxed

The structure belongs to space group I4/mmm (No. 139); the cell edges are 4.903, 4.903 and 12.104 Å and the angles 90.00°, 90.00° and 90.00°. Symmetry generates all atoms from Mg at (0.000, 0.000, 0.000), Pd at (0.000, 0.000, 0.500), Pd at (0.000, 0.500, 0.118) and Pb at (0.000, 0.000, 0.260).

The energy relative to the elements is -0.305 eV per atom. Its total magnetization is 0.0 μB per formula unit. The total energy comes out at -4.677 eV/atom. The energy above the most stable polymorph in this dataset is 0.035 eV per atom.

=====

(11)
NaTlF4 | PBE | relaxed

The structure belongs to space group P2_1/c (No. 14); the cell edges are 5.594, 5.636 and 5.641 Å and the angles 90.00°, 93.55° and 90.00°. Symmetry generates all atoms from Na at (0.000, 0.000, 0.000), Tl at (0.500, 0.000, 0.500), F at (0.188, 0.163, 0.350) and F at (0.337, 0.672, 0.317).

Its total magnetization is 0.0 μB per formula unit. The total energy comes out at -4.033 eV/atom. The energy above the most stable polymorph in this dataset is 0.006 eV per atom. The calculation puts the uncorrected formation energy at -2.171 eV/atom.

=====

(12)
VHS3 | PBE | relaxed

The structure belongs to space group Pm-3m (No. 221); the cell edges are 4.551, 4.551 and 4.551 Å and the angles 90.00°, 90.00° and 90.00°. Symmetry generates all atoms from V at (0.000, 0.000, 0.000), H at (0.500, 0.500, 0.500) and S at (0.000, 0.000, 0.500).

Its total magnetization is 1.0 μB per formula unit. The total energy comes out at -4.643 eV/atom. The energy above the most stable polymorph in this dataset is 0.000 eV per atom.